Record 1
The following is a PBE-GGA calculation of crystalline PW at its relaxed geometry, from Alexandria.

POSCAR file:
```
PW
1.0
-3.937 4.713 -0.411
-3.563 -2.966 0.122
-0.207 0.626 9.157
P W
8 8
Direct
0.273 0.411 0.743 P
0.670 0.429 0.441 P
0.830 0.571 0.941 P
0.727 0.911 0.757 P
0.227 0.589 0.243 P
0.773 0.089 0.257 P
0.330 0.929 0.059 P
0.170 0.071 0.559 P
0.189 0.405 0.999 W
0.311 0.595 0.499 W
0.811 0.905 0.501 W
0.651 0.409 0.703 W
0.349 0.909 0.797 W
0.849 0.591 0.203 W
0.689 0.095 0.001 W
0.151 0.091 0.297 W
```

E_form (eV per atom): 0.02

---

Record 2
The following is a PBE-GGA calculation of crystalline BeNbCo2 at its relaxed geometry, from Alexandria.

POSCAR file:
```
BeNbCo2
1.0
-4.008 -0.286 4.128
-1.752 -3.983 -1.977
4.886 -4.355 4.442
Co Be Nb
8 4 4
Direct
0.000 0.000 0.000 Co
0.500 0.000 0.500 Co
0.000 0.500 0.000 Co
0.306 0.250 0.083 Co
0.694 0.250 0.083 Co
0.306 0.750 0.917 Co
0.694 0.750 0.917 Co
0.500 0.500 0.500 Co
0.500 0.750 0.699 Be
0.500 0.250 0.301 Be
0.000 0.750 0.732 Be
0.000 0.250 0.268 Be
0.000 0.750 0.395 Nb
0.500 0.250 0.807 Nb
0.000 0.250 0.605 Nb
0.500 0.750 0.193 Nb
```

E_form (eV per atom): 0.55

---

Record 3
The following is a PBE-GGA calculation of crystalline PrMg4Ag4 at its relaxed geometry, from Alexandria.

POSCAR file:
```
PrMg4Ag4
1.0
-6.302 -0.084 1.733
-1.198 -4.511 -4.576
1.815 -6.843 6.271
Ag Mg Pr
8 8 2
Direct
0.216 0.500 0.204 Ag
0.500 0.784 0.796 Ag
0.784 0.500 0.204 Ag
0.000 0.716 0.704 Ag
0.284 0.000 0.296 Ag
0.000 0.284 0.704 Ag
0.716 0.000 0.296 Ag
0.500 0.216 0.796 Ag
0.229 0.500 0.905 Mg
0.729 0.000 0.595 Mg
0.500 0.771 0.095 Mg
0.271 0.000 0.595 Mg
0.000 0.271 0.405 Mg
0.500 0.229 0.095 Mg
0.000 0.729 0.405 Mg
0.771 0.500 0.905 Mg
0.000 0.000 0.000 Pr
0.500 0.500 0.500 Pr
```

E_form (eV per atom): -0.11